No. 1
The following is a DFT calculation (GGA-PBE) of a geometry-optimized Ag5PSe4I2 structure.

Calculated values
* E: -3.19 eV/atom
* E_form (uncorrected): -0.13 eV per atom
* size of the total moment: 0.00 μB/f.u.
* calculated density: 5.87 g cm⁻³

abc: 7.8878 11.8933 6.8711
angles: 90.00 90.00 90.00
Space group Amm2 (No. 38)
Inequivalent atoms, fractional coordinates:
Ag (0.0000, 0.0000, 0.0000) (multiplicity 2)
Ag (0.2905, 0.1903, 0.4502) (multiplicity 8)
P (0.5000, 0.0000, 0.0516) (multiplicity 2)
Se (0.2672, 0.0000, 0.2434) (multiplicity 4)
Se (0.5000, 0.1493, 0.8431) (multiplicity 4)
I (0.0000, 0.1705, 0.6965) (multiplicity 4)



No. 2
The following is a DFT calculation (GGA-PBE) of a geometry-optimized LuNbAl structure.

Calculated values
* E: -6.21 eV/atom
* size of the total moment: 0.00 μB/f.u.
* calculated density: 8.03 g cm⁻³
* formation enthalpy at 0 K: -2.22 kcal/mol of atoms

abc: 3.0384 3.0384 13.2077
angles: 90.00 90.00 90.00
Space group I4mm (No. 107)
Inequivalent atoms, fractional coordinates:
Lu (0.0000, 0.0000, 0.0000) (multiplicity 2)
Nb (0.0000, 0.0000, 0.3186) (multiplicity 2)
Al (0.0000, 0.0000, 0.6738) (multiplicity 2)



No. 3
The following is a DFT calculation (GGA-PBE) of a geometry-optimized OsPdS2 structure.

Calculated values
* E: -5.81 eV/atom
* E_form (uncorrected): 0.36 eV per atom
* size of the total moment: 0.00 μB/f.u.
* calculated density: 8.96 g cm⁻³

abc: 3.1905 3.1905 22.7422
angles: 90.00 90.00 120.00
Space group R-3m (No. 166, hexagonal axes)
Inequivalent atoms, fractional coordinates:
Os (0.0000, 0.0000, 0.0000) (multiplicity 3)
Pd (0.0000, 0.0000, 0.5000) (multiplicity 3)
S (0.0000, 0.0000, 0.0971) (multiplicity 6)



No. 4
The following is a DFT calculation (GGA-PBE) of a geometry-optimized MnCu2AuN structure.

Calculated values
* E: -5.77 eV/atom
* E_form (uncorrected): 0.02 eV per atom
* size of the total moment: 3.26 μB/f.u.
* calculated density: 10.47 g cm⁻³

abc: 3.9748 3.9748 3.9457
angles: 90.00 90.00 90.00
Space group P4/mmm (No. 123)
Inequivalent atoms, fractional coordinates:
Mn (0.0000, 0.0000, 0.0000) (multiplicity 1)
Cu (0.0000, 0.5000, 0.5000) (multiplicity 2)
Au (0.5000, 0.5000, 0.0000) (multiplicity 1)
N (0.0000, 0.0000, 0.5000) (multiplicity 1)



No. 5
The following is a DFT calculation (GGA-PBE) of a geometry-optimized Tb2CdBiO6 structure.

Calculated values
* E: -6.63 eV/atom
* E_form (uncorrected): -2.25 eV per atom
* size of the total moment: 0.26 μB/f.u.
* calculated density: 7.99 g cm⁻³

abc: 5.8554 5.8554 15.4451
angles: 90.00 90.00 120.00
Space group R3 (No. 146, hexagonal axes)
Inequivalent atoms, fractional coordinates:
Tb (0.0000, 0.0000, 0.0000) (multiplicity 3)
Tb (0.0000, 0.0000, 0.4989) (multiplicity 3)
Cd (0.0000, 0.0000, 0.2195) (multiplicity 3)
Bi (0.0000, 0.0000, 0.7111) (multiplicity 3)
O (0.0084, 0.7176, 0.6073) (multiplicity 9)
O (0.0354, 0.3671, 0.7710) (multiplicity 9)



No. 6
The following is a DFT calculation (GGA-PBE) of a geometry-optimized MgTc2Ni structure.

Calculated values
* E: -6.86 eV/atom
* size of the total moment: 0.00 μB/f.u.
* calculated density: 8.12 g cm⁻³
* formation enthalpy at 0 K: 3.85 kcal/mol of atoms

abc: 2.6229 2.6229 8.2985
angles: 90.00 90.00 90.00
Space group P4/mmm (No. 123)
Inequivalent atoms, fractional coordinates:
Mg (0.0000, 0.0000, 0.0000) (multiplicity 1)
Tc (0.5000, 0.5000, 0.2728) (multiplicity 2)
Ni (0.0000, 0.0000, 0.5000) (multiplicity 1)